ScRe: optimized geometry, PBE.

```
4
Lattice="4.541 0.000 0.000 -2.271 3.933 0.000 0.000 0.000 4.812" Properties=species:S:1:pos:R:3 pbc="T T T"
Sc 0.000 2.622 1.203
Sc 2.271 1.311 3.609
Re 0.000 0.000 0.000
Re 0.000 0.000 2.406
```

## Properties
Calculated density   8.933 g/cm³
Volume   21.5 A^3/atom
Formation energy   326 meV per atom